This record from Alexandria describes a relaxed CrPb3Cl2F6 crystal. The functional is GGA+U.

The density of states at the Fermi level comes out at 4.2 states/eV/cell. As for the total energy: -115.22 eV per cell.

The structure belongs to space group C2/m (No. 12); the cell edges are 13.835, 6.472 and 5.427 Å and the angles 90.00°, 95.19° and 90.00°. The inequivalent atoms are Cr at (0.000, 0.000, 0.000), Pb at (0.000, 0.500, 0.500), Pb at (0.250, 0.250, 0.000), Cl at (0.200, 0.500, 0.431), F at (0.061, 0.222, 0.812) and F at (0.121, 0.000, 0.205).